Density functional theory data (PBE-GGA) for CsScAu2 after structural relaxation.

Cell lengths 3.5964, 3.5964, 8.5237 Å; angles 90.00, 90.00, 90.00 degrees
With the nearest neighbours (Å) after each atom.
Space group P4/mmm (No. 123)
Unique sites:
Cs 0.0000 0.0000 0.0000 [1 per cell]  4 Cs 3.60, 8 Au 3.80
Sc 0.0000 0.0000 0.5000 [1 per cell]  8 Au 2.92
Au 0.5000 0.5000 0.3311 [2 per cell]  1 Au 2.88, 4 Sc 2.92

Results
- Total magnetization: 0.00 μB/atom
- Crystal system: tetragonal
- ΔE_f: -0.42 eV per atom

Density functional theory data (PBE-GGA) for RbBaLi after structural relaxation.

Cell lengths 6.6357, 6.6357, 4.4272 Å; angles 90.00, 90.00, 120.00 degrees
With the nearest neighbours (Å) after each atom.
Space group P3m1 (No. 156)
Unique sites:
Rb 0.0000 0.0000 0.0000 [1 per cell]  3 Li 3.85
Ba 0.3333 0.6667 0.4686 [1 per cell]  6 Li 4.33-4.53, 6 Rb 4.36-4.50, 2 Ba 4.43
Li 0.6667 0.3333 0.9230 [1 per cell]  3 Rb 3.85

Results
- Total magnetization: 0.00 μB/atom
- Crystal system: trigonal
- ΔE_f: 0.23 eV per atom

Density functional theory data (PBE-GGA) for TiReN3 after structural relaxation.

Cell lengths 2.7853, 5.6550, 8.2414 Å; angles 90.00, 90.00, 90.00 degrees
With the nearest neighbours (Å) after each atom.
Space group Pmmn (No. 59, origin choice 2)
Unique sites:
Ti 0.2500 0.2500 0.2016 [2 per cell]  6 N 2.11
Re 0.2500 0.7500 0.2070 [2 per cell]  1 N 1.79
N 0.2500 0.0092 0.7245 [4 per cell]  2 Re 2.03, 2 Ti 2.11
N 0.2500 0.7500 0.9900 [2 per cell]  1 Re 1.79

Results
- Total magnetization: 0.00 μB/atom
- E_tot: -9.48 eV per atom
- Crystal system: orthorhombic

Question: What is the formula in the third record?
Answer: TiReN3

What did the first record say?
Density functional theory data (PBE-GGA) for CsScAu2 after structural relaxation.

Cell lengths 3.5964, 3.5964, 8.5237 Å; angles 90.00, 90.00, 90.00 degrees
With the nearest neighbours (Å) after each atom.
Space group P4/mmm (No. 123)
Unique sites:
Cs 0.0000 0.0000 0.0000 [1 per cell]  4 Cs 3.60, 8 Au 3.80
Sc 0.0000 0.0000 0.5000 [1 per cell]  8 Au 2.92
Au 0.5000 0.5000 0.3311 [2 per cell]  1 Au 2.88, 4 Sc 2.92

Results
- Total magnetization: 0.00 μB/atom
- Crystal system: tetragonal
- ΔE_f: -0.42 eV per atom